Crystalline CaSc3 at its relaxed geometry. Source: Alexandria via LeMat-Bulk, functional PBEsol.

Geometry as POSCAR:
```
CaSc3
1.0
5.330 3.077 1.072
-5.330 3.077 1.072
0.000 -6.154 1.072
Ca Sc
1 3
Direct
0.000 0.000 0.000
0.000 0.500 0.500
0.500 0.000 0.500
0.500 0.500 0.000
```

Output
ΔH_f (0 K) ... 1.0 eV/f.u.
N(E_F) ... 8.858 states/eV per cell